# 1
Computed, not measured: an optimized crystal structure of NaSc2Te at the PBE-GGA level of DFT.

abc: 3.7288 3.7288 31.2969
angles: 90.00 90.00 120.00
Space group R-3m (No. 166, hexagonal axes)
One atom of each set of equivalent atoms:
Na: 0.0000 0.0000 0.0000 (multiplicity 3)
Sc: 0.0000 0.0000 0.1066 (multiplicity 6)
Te: 0.0000 0.0000 0.5000 (multiplicity 3)

For the electronic total energy, the calculation gives -4.421 eV/atom. The volume comes out at 31.40 Å³ per atom. The value obtained for the uncorrected formation energy is -0.14 eV per atom.

---

# 2
Computed, not measured: an optimized crystal structure of La4ZrCl at the PBE-GGA level of DFT.

abc: 9.2007 9.2007 9.2007
angles: 90.00 90.00 90.00
Space group F-43m (No. 216)
One atom of each set of equivalent atoms:
La: 0.1213 0.1213 0.1213 (multiplicity 16)
Zr: 0.2500 0.2500 0.7500 (multiplicity 4)
Cl: 0.0000 0.0000 0.5000 (multiplicity 4)

For the electronic total energy, the calculation gives -4.668 eV/atom. The volume comes out at 32.45 Å³ per atom. The value obtained for the uncorrected formation energy is 0.35 eV per atom.

---

# 3
Computed, not measured: an optimized crystal structure of AlCrCo2 at the PBE-GGA level of DFT.

abc: 2.5818 2.5818 24.4127
angles: 90.00 90.00 120.00
Space group R3m (No. 160, hexagonal axes)
One atom of each set of equivalent atoms:
Al: 0.0000 0.0000 0.0000 (multiplicity 3)
Cr: 0.0000 0.0000 0.2440 (multiplicity 3)
Co: 0.0000 0.0000 0.4985 (multiplicity 3)
Co: 0.0000 0.0000 0.7497 (multiplicity 3)

For the electronic total energy, the calculation gives -6.851 eV/atom. The volume comes out at 11.74 Å³ per atom.

---

# 4
Computed, not measured: an optimized crystal structure of LiSm8Sn2 at the PBE-GGA level of DFT.

abc: 19.3351 5.1957 6.9171
angles: 90.00 105.23 90.00
Space group C2/m (No. 12)
One atom of each set of equivalent atoms:
Li: 0.0000 0.0000 0.0000 (multiplicity 2)
Sm: 0.0160 0.5000 0.7711 (multiplicity 4)
Sm: 0.0929 0.0000 0.4815 (multiplicity 4)
Sm: 0.1542 0.0000 0.9892 (multiplicity 4)
Sm: 0.2086 0.5000 0.3102 (multiplicity 4)
Sn: 0.1814 0.5000 0.7505 (multiplicity 4)

For the electronic total energy, the calculation gives -4.567 eV/atom. The volume comes out at 30.48 Å³ per atom.

---

# 5
Computed, not measured: an optimized crystal structure of CePm2ScP4 at the PBE-GGA level of DFT.

abc: 6.9505 4.0363 6.9873
angles: 90.00 109.40 90.00
Space group P2/m (No. 10)
One atom of each set of equivalent atoms:
Ce: 0.0000 0.0000 0.0000 (multiplicity 1)
Pm: 0.0000 0.5000 0.5000 (multiplicity 1)
Pm: 0.5000 0.0000 0.5000 (multiplicity 1)
Sc: 0.5000 0.5000 0.0000 (multiplicity 1)
P: 0.2534 0.5000 0.2380 (multiplicity 2)
P: 0.2620 0.0000 0.7675 (multiplicity 2)

For the electronic total energy, the calculation gives -6.929 eV/atom. The volume comes out at 23.11 Å³ per atom.

---

# 6
Computed, not measured: an optimized crystal structure of Hg3W at the PBE-GGA level of DFT.

abc: 6.9245 6.9245 6.9245
angles: 90.00 90.00 90.00
Space group Fm-3m (No. 225)
One atom of each set of equivalent atoms:
Hg: 0.0000 0.0000 0.0000 (multiplicity 4)
Hg: 0.2500 0.2500 0.2500 (multiplicity 8)
W: 0.0000 0.0000 0.5000 (multiplicity 4)

For the electronic total energy, the calculation gives -2.397 eV/atom. The volume comes out at 20.75 Å³ per atom. For the excess energy over the best structure of this formula in the dataset, the calculation gives 616 meV/atom.

---

# 7
Computed, not measured: an optimized crystal structure of KGaSn at the PBE-GGA level of DFT.

abc: 6.9203 4.6130 7.3912
angles: 90.00 111.91 90.00
Space group P2/m (No. 10)
One atom of each set of equivalent atoms:
K: 0.2244 0.0000 0.2829 (multiplicity 2)
Ga: 0.3360 0.0000 0.8519 (multiplicity 2)
Sn: 0.1943 0.5000 0.6711 (multiplicity 2)

For the electronic total energy, the calculation gives -2.842 eV/atom. The volume comes out at 36.48 Å³ per atom.

---

# 8
Computed, not measured: an optimized crystal structure of Ho5PuTl3 at the PBE-GGA level of DFT.

abc: 9.3062 9.3062 6.6443
angles: 90.00 90.00 120.00
Space group P6_3/mcm (No. 193)
One atom of each set of equivalent atoms:
Ho: 0.0000 0.3151 0.2500 (multiplicity 6)
Ho: 0.3333 0.6667 0.0000 (multiplicity 4)
Pu: 0.0000 0.0000 0.0000 (multiplicity 2)
Tl: 0.0000 0.3502 0.7500 (multiplicity 6)

For the electronic total energy, the calculation gives -5.158 eV/atom. The volume comes out at 27.69 Å³ per atom.

---

# 9
Computed, not measured: an optimized crystal structure of ZnW at the PBE-GGA level of DFT.

abc: 9.7254 9.7254 2.6835
angles: 90.00 90.00 90.00
Space group P4/m (No. 83)
One atom of each set of equivalent atoms:
Zn: 0.0813 0.8128 0.0000 (multiplicity 4)
Zn: 0.1149 0.2904 0.5000 (multiplicity 4)
W: 0.1263 0.5592 0.5000 (multiplicity 4)
W: 0.3483 0.3808 0.0000 (multiplicity 4)

For the electronic total energy, the calculation gives -6.620 eV/atom. The volume comes out at 15.86 Å³ per atom. For the excess energy over the best structure of this formula in the dataset, the calculation gives 331 meV/atom.

---

# 10
Computed, not measured: an optimized crystal structure of ZnPd3Au6 at the PBE-GGA level of DFT.

abc: 7.5531 4.7765 9.9057
angles: 90.00 109.02 90.00
Space group P2_1/m (No. 11)
One atom of each set of equivalent atoms:
Zn: 0.1088 0.2500 0.0736 (multiplicity 2)
Pd: 0.0946 0.7500 0.7371 (multiplicity 2)
Pd: 0.2947 0.2500 0.8736 (multiplicity 2)
Pd: 0.2960 0.7500 0.5309 (multiplicity 2)
Au: 0.0935 0.7500 0.2243 (multiplicity 2)
Au: 0.0992 0.2500 0.5699 (multiplicity 2)
Au: 0.2913 0.7500 0.0291 (multiplicity 2)
Au: 0.3002 0.2500 0.3662 (multiplicity 2)
Au: 0.4935 0.7500 0.8315 (multiplicity 2)
Au: 0.4977 0.2500 0.6683 (multiplicity 2)

For the electronic total energy, the calculation gives -3.772 eV/atom. The volume comes out at 16.89 Å³ per atom. For the excess energy over the best structure of this formula in the dataset, the calculation gives 0 meV/atom.

---

# 11
Computed, not measured: an optimized crystal structure of HoSi3Ru3 at the PBE-GGA level of DFT.

abc: 6.4602 6.4602 6.4602
angles: 90.00 90.00 90.00
Space group Pm-3n (No. 223)
One atom of each set of equivalent atoms:
Ho: 0.0000 0.0000 0.0000 (multiplicity 2)
Si: 0.0000 0.2500 0.5000 (multiplicity 6)
Ru: 0.0000 0.5000 0.2500 (multiplicity 6)

For the electronic total energy, the calculation gives -7.110 eV/atom. The volume comes out at 19.26 Å³ per atom. The value obtained for the uncorrected formation energy is -0.16 eV per atom.

---

# 12
Computed, not measured: an optimized crystal structure of KS2N2 at the PBE-GGA level of DFT.

abc: 3.9831 3.9831 5.7380
angles: 90.00 90.00 90.00
Space group P4/mmm (No. 123)
One atom of each set of equivalent atoms:
K: 0.0000 0.0000 0.0000 (multiplicity 1)
S: 0.0000 0.5000 0.5000 (multiplicity 2)
N: 0.5000 0.5000 0.0000 (multiplicity 1)
N: 0.5000 0.5000 0.5000 (multiplicity 1)

For the electronic total energy, the calculation gives -3.770 eV/atom. The volume comes out at 18.21 Å³ per atom. The value obtained for the uncorrected formation energy is 1.43 eV per atom. For the excess energy over the best structure of this formula in the dataset, the calculation gives 1755 meV/atom.

---

# 13
Computed, not measured: an optimized crystal structure of TlSe2I4 at the PBE-GGA level of DFT.

abc: 5.3430 11.9776 12.2756
angles: 70.98 77.95 80.38
Space group P1 (No. 1)
One atom of each set of equivalent atoms:
Tl: 0.0000 0.0000 0.0000 (multiplicity 1)
Tl: 0.4113 0.5919 0.5198 (multiplicity 1)
Se: 0.3193 0.5323 0.1334 (multiplicity 1)
Se: 0.5806 0.5072 0.9682 (multiplicity 1)
Se: 0.8865 0.6605 0.9017 (multiplicity 1)
Se: 0.9675 0.6858 0.0688 (multiplicity 1)
I: 0.0615 0.4386 0.7041 (multiplicity 1)
I: 0.1177 0.7464 0.3334 (multiplicity 1)
I: 0.3631 0.1826 0.7561 (multiplicity 1)
I: 0.3809 0.9807 0.2234 (multiplicity 1)
I: 0.5088 0.7523 0.6234 (multiplicity 1)
I: 0.5788 0.2051 0.1141 (multiplicity 1)
I: 0.6037 0.9421 0.8220 (multiplicity 1)
I: 0.7372 0.4393 0.4098 (multiplicity 1)

For the electronic total energy, the calculation gives -2.365 eV/atom. The volume comes out at 51.58 Å³ per atom. The value obtained for the uncorrected formation energy is -0.15 eV per atom.

---

# 14
Computed, not measured: an optimized crystal structure of DyPu2UN4 at the PBE-GGA level of DFT.

abc: 5.9995 3.4784 6.0091
angles: 90.00 109.29 90.00
Space group P2/m (No. 10)
One atom of each set of equivalent atoms:
Dy: 0.0000 0.0000 0.0000 (multiplicity 1)
Pu: 0.5000 0.0000 0.5000 (multiplicity 1)
Pu: 0.5000 0.5000 0.0000 (multiplicity 1)
U: 0.0000 0.5000 0.5000 (multiplicity 1)
N: 0.2346 0.0000 0.7358 (multiplicity 2)
N: 0.2413 0.5000 0.2620 (multiplicity 2)

For the electronic total energy, the calculation gives -11.129 eV/atom. The volume comes out at 14.80 Å³ per atom. The value obtained for the uncorrected formation energy is -1.40 eV per atom.

---

# 15
Computed, not measured: an optimized crystal structure of MgHgPb4 at the PBE-GGA level of DFT.

abc: 9.1704 9.1704 9.1704
angles: 90.00 90.00 90.00
Space group F-43m (No. 216)
One atom of each set of equivalent atoms:
Mg: 0.0000 0.0000 0.0000 (multiplicity 4)
Hg: 0.2500 0.2500 0.2500 (multiplicity 4)
Pb: 0.1252 0.1252 0.6252 (multiplicity 16)

For the electronic total energy, the calculation gives -2.614 eV/atom. The volume comes out at 32.13 Å³ per atom. For the excess energy over the best structure of this formula in the dataset, the calculation gives 181 meV/atom.

---

# 16
Computed, not measured: an optimized crystal structure of Al2GaPd5 at the PBE-GGA level of DFT.

abc: 5.4816 10.6678 4.0382
angles: 90.00 90.00 90.00
Space group Pbam (No. 55)
One atom of each set of equivalent atoms:
Al: 0.1613 0.1446 0.0000 (multiplicity 4)
Ga: 0.0000 0.5000 0.5000 (multiplicity 2)
Pd: 0.0000 0.0000 0.5000 (multiplicity 2)
Pd: 0.0889 0.7340 0.5000 (multiplicity 4)
Pd: 0.1927 0.3935 0.0000 (multiplicity 4)

For the electronic total energy, the calculation gives -5.329 eV/atom. The volume comes out at 14.76 Å³ per atom.

---

# 17
Computed, not measured: an optimized crystal structure of Sr2HgP at the PBE-GGA level of DFT.

abc: 4.0449 4.3742 15.2121
angles: 90.00 90.00 90.00
Space group Imm2 (No. 44)
One atom of each set of equivalent atoms:
Sr: 0.0000 0.0000 0.0000 (multiplicity 2)
Sr: 0.0000 0.5000 0.2059 (multiplicity 2)
Hg: 0.0000 0.0000 0.3837 (multiplicity 2)
P: 0.0000 0.5000 0.6445 (multiplicity 2)

For the electronic total energy, the calculation gives -2.910 eV/atom. The volume comes out at 33.64 Å³ per atom. For the excess energy over the best structure of this formula in the dataset, the calculation gives 177 meV/atom.

---

# 18
Computed, not measured: an optimized crystal structure of NaMg2Cd2 at the PBE-GGA level of DFT.

abc: 8.6139 8.6139 3.2279
angles: 90.00 90.00 90.00
Space group P4/mbm (No. 127)
One atom of each set of equivalent atoms:
Na: 0.0000 0.0000 0.0000 (multiplicity 2)
Mg: 0.1679 0.3321 0.5000 (multiplicity 4)
Cd: 0.1288 0.6288 0.0000 (multiplicity 4)

For the electronic total energy, the calculation gives -1.343 eV/atom. The volume comes out at 23.95 Å³ per atom. For the excess energy over the best structure of this formula in the dataset, the calculation gives 4 meV/atom.

---

# 19
Computed, not measured: an optimized crystal structure of C3Se5 at the PBE-GGA level of DFT.

abc: 6.1351 10.2582 7.2225
angles: 90.00 100.47 90.00
Space group P2_1/m (No. 11)
One atom of each set of equivalent atoms:
C: 0.0556 0.2500 0.4869 (multiplicity 2)
C: 0.3833 0.7500 0.5210 (multiplicity 2)
C: 0.4259 0.2500 0.8803 (multiplicity 2)
Se: 0.1410 0.2500 0.7759 (multiplicity 2)
Se: 0.1750 0.6078 0.5839 (multiplicity 4)
Se: 0.3030 0.2500 0.3290 (multiplicity 2)
Se: 0.3406 0.7500 0.2311 (multiplicity 2)

For the electronic total energy, the calculation gives -4.652 eV/atom. The volume comes out at 27.94 Å³ per atom. The value obtained for the uncorrected formation energy is 0.98 eV per atom. For the excess energy over the best structure of this formula in the dataset, the calculation gives 0 meV/atom.

---

# 20
Computed, not measured: an optimized crystal structure of NbAgF6 at the PBE-GGA level of DFT.

abc: 5.5823 5.5823 10.7414
angles: 90.00 90.00 120.00
Space group P-31c (No. 163)
One atom of each set of equivalent atoms:
Nb: 0.0000 0.0000 0.0000 (multiplicity 2)
Ag: 0.3333 0.6667 0.2500 (multiplicity 2)
F: 0.0225 0.2937 0.1052 (multiplicity 12)

For the electronic total energy, the calculation gives -5.597 eV/atom. The volume comes out at 18.12 Å³ per atom. The value obtained for the uncorrected formation energy is -2.58 eV per atom.

---

# 21
Computed, not measured: an optimized crystal structure of TaReCl2 at the PBE-GGA level of DFT.

abc: 3.3681 5.9774 9.4935
angles: 107.68 90.25 90.01
Space group P1 (No. 1)
One atom of each set of equivalent atoms:
Ta: 0.0000 0.0000 0.0000 (multiplicity 1)
Ta: 0.0296 0.5000 0.0000 (multiplicity 1)
Re: 0.5067 0.9134 0.1769 (multiplicity 1)
Re: 0.5273 0.4135 0.1770 (multiplicity 1)
Cl: 0.1035 0.1596 0.7823 (multiplicity 1)
Cl: 0.4466 0.2499 0.3849 (multiplicity 1)
Cl: 0.5933 0.7500 0.3850 (multiplicity 1)
Cl: 0.9208 0.6596 0.7823 (multiplicity 1)

For the electronic total energy, the calculation gives -7.499 eV/atom. The volume comes out at 22.76 Å³ per atom. The value obtained for the uncorrected formation energy is -0.50 eV per atom. For the excess energy over the best structure of this formula in the dataset, the calculation gives 0 meV/atom.

---

# 22
Computed, not measured: an optimized crystal structure of Ac2BeTc2N6 at the PBE-GGA level of DFT.

abc: 5.8370 5.8370 16.1715
angles: 90.00 90.00 120.00
Space group R-3m (No. 166, hexagonal axes)
One atom of each set of equivalent atoms:
Ac: 0.0000 0.0000 0.2211 (multiplicity 6)
Be: 0.0000 0.0000 0.0000 (multiplicity 3)
Tc: 0.0000 0.0000 0.4264 (multiplicity 6)
N: 0.0235 0.5117 0.7402 (multiplicity 18)

For the electronic total energy, the calculation gives -7.849 eV/atom. The volume comes out at 14.46 Å³ per atom. The value obtained for the uncorrected formation energy is -0.34 eV per atom.